Record 1
Compound: Ho3Si4
Source: Alexandria via LeMat-Bulk
Functional: PBE
Structure: relaxed

a b c (Å): 5.5967 5.5967 13.6390
angles (deg): 90.00 90.00 138.60
With the nearest neighbours (Å) after each atom.
Sites, in units of the cell vectors:
Ho1 0.0220 0.9780 0.7500  7 Si 2.91-3.06
Ho2 0.3164 0.6836 0.5985  8 Si 2.91-3.07
Ho3 0.3164 0.6836 0.9015  8 Si 2.91-3.07
Ho4 0.6836 0.3164 0.0985  8 Si 2.91-3.07
Ho5 0.6836 0.3164 0.4015  8 Si 2.91-3.07
Ho6 0.9780 0.0220 0.2500  7 Si 2.91-3.06
Si1 0.0000 0.0000 0.0000  4 Si 2.68
Si2 0.0000 0.0000 0.5000  4 Si 2.68
Si3 0.2554 0.7446 0.2500  2 Si 2.45
Si4 0.3958 0.6042 0.1062  3 Si 2.45-2.68
Si5 0.3958 0.6042 0.3938  3 Si 2.45-2.68
Si6 0.6042 0.3958 0.6062  3 Si 2.45-2.68
Si7 0.6042 0.3958 0.8938  3 Si 2.45-2.68
Si8 0.7446 0.2554 0.7500  2 Si 2.45

Fermi-level density of states: 0.391 states/eV/atom
Formation energy from raw total energies: -0.716 eV/atom
Calculated volume: 282.5 Å³ per cell
Total energy: -5.7770 eV per atom

Record 2
Compound: Sm2Ho3Si4
Source: Alexandria via LeMat-Bulk
Functional: PBE
Structure: relaxed

a b c (Å): 7.6851 7.7370 7.4425
angles (deg): 90.00 106.81 90.00
With the nearest neighbours (Å) after each atom.
Sites, in units of the cell vectors:
Sm1 0.1985 0.1787 0.0842  6 Si 3.06-3.26
Sm2 0.1985 0.3213 0.5842  6 Si 3.06-3.26
Sm3 0.8015 0.6787 0.4158  6 Si 3.06-3.26
Sm4 0.8015 0.8213 0.9158  6 Si 3.06-3.26
Ho1 0.2444 0.6808 0.2529  6 Si 2.85-2.97
Ho2 0.2444 0.8192 0.7529  6 Si 2.85-2.97
Ho3 0.5000 0.0000 0.5000  6 Si 2.97-3.10
Ho4 0.5000 0.5000 0.0000  6 Si 2.97-3.10
Ho5 0.7556 0.1808 0.2471  6 Si 2.85-2.97
Ho6 0.7556 0.3192 0.7471  6 Si 2.85-2.97
Si1 0.0793 0.5305 0.8767  1 Si 2.52
Si2 0.0793 0.9695 0.3767  1 Si 2.52
Si3 0.4921 0.1193 0.8764  1 Si 2.58
Si4 0.4921 0.3807 0.3764  1 Si 2.58
Si5 0.5079 0.6193 0.6236  1 Si 2.58
Si6 0.5079 0.8807 0.1236  1 Si 2.58
Si7 0.9207 0.0305 0.6233  1 Si 2.52
Si8 0.9207 0.4695 0.1233  1 Si 2.52

Fermi-level density of states: 0.931 states/eV/atom
Formation energy from raw total energies: -0.765 eV/atom
Calculated volume: 423.6 Å³ per cell
Total energy: -5.7495 eV per atom

Record 3
Compound: Sm3HoSi4
Source: Alexandria via LeMat-Bulk
Functional: PBE
Structure: relaxed

a b c (Å): 8.7558 8.7558 8.7558
angles (deg): 152.87 138.02 50.71
With the nearest neighbours (Å) after each atom.
Sites, in units of the cell vectors:
Sm1 0.0000 0.0000 0.0000  8 Si 3.13
Sm2 0.3062 0.8062 0.5000  6 Si 3.02
Sm3 0.6938 0.1938 0.5000  6 Si 3.02
Ho1 0.5000 0.5000 0.0000  4 Si 2.85
Si1 0.0553 0.3697 0.6856  1 Si 2.33
Si2 0.3159 0.6303 0.6856  1 Si 2.33
Si3 0.6841 0.3697 0.3144  1 Si 2.33
Si4 0.9447 0.6303 0.3144  1 Si 2.33

Fermi-level density of states: 0.885 states/eV/atom
Formation energy from raw total energies: -0.564 eV/atom
Calculated volume: 203.9 Å³ per cell
Total energy: -5.6173 eV per atom

Record 4
Compound: SmHo4Si4
Source: Alexandria via LeMat-Bulk
Functional: PBE
Structure: relaxed

a b c (Å): 9.1045 9.1045 5.7139
angles (deg): 90.00 90.00 90.00
With the nearest neighbours (Å) after each atom.
Sites, in units of the cell vectors:
Sm1 0.2500 0.2500 0.2500  4 Si 3.00
Sm2 0.7500 0.7500 0.7500  4 Si 3.00
Ho1 0.0910 0.6482 0.1280  5 Si 2.89-2.97
Ho2 0.1482 0.9090 0.6280  5 Si 2.89-2.97
Ho3 0.3518 0.5910 0.6280  5 Si 2.89-2.97
Ho4 0.4090 0.8518 0.1280  5 Si 2.89-2.97
Ho5 0.5910 0.1482 0.8720  5 Si 2.89-2.97
Ho6 0.6482 0.4090 0.3720  5 Si 2.89-2.97
Ho7 0.8518 0.0910 0.3720  5 Si 2.89-2.97
Ho8 0.9090 0.3518 0.8720  5 Si 2.89-2.97
Si1 0.0346 0.6027 0.6301  1 Si 2.47
Si2 0.1027 0.9654 0.1301  1 Si 2.47
Si3 0.3973 0.5346 0.1301  1 Si 2.47
Si4 0.4654 0.8973 0.6301  1 Si 2.47
Si5 0.5346 0.1027 0.3699  1 Si 2.47
Si6 0.6027 0.4654 0.8699  1 Si 2.47
Si7 0.8973 0.0346 0.8699  1 Si 2.47
Si8 0.9654 0.3973 0.3699  1 Si 2.47

Fermi-level density of states: 0.838 states/eV/atom
Formation energy from raw total energies: -0.475 eV/atom
Calculated volume: 473.6 Å³ per cell
Total energy: -5.4442 eV per atom

Record 5
Compound: SmHoSi4
Source: Alexandria via LeMat-Bulk
Functional: PBE
Structure: relaxed

a b c (Å): 8.3085 14.5700 4.0872
angles (deg): 90.00 90.00 90.00
With the nearest neighbours (Å) after each atom.
Sites, in units of the cell vectors:
Sm1 0.1106 0.1345 0.0000  10 Si 3.12-3.30
Sm2 0.3894 0.6345 0.0000  10 Si 3.12-3.30
Sm3 0.6106 0.3655 0.0000  10 Si 3.12-3.30
Sm4 0.8894 0.8655 0.0000  10 Si 3.12-3.30
Ho1 0.1409 0.4126 0.0000  10 Si 2.85-3.02
Ho2 0.3591 0.9126 0.0000  10 Si 2.85-3.02
Ho3 0.6409 0.0874 0.0000  10 Si 2.85-3.02
Ho4 0.8591 0.5874 0.0000  10 Si 2.85-3.02
Si1 0.0343 0.2904 0.5000  3 Si 2.29-2.51
Si2 0.1224 0.5626 0.5000  3 Si 2.50-2.73
Si3 0.1280 0.9668 0.5000  3 Si 2.34-2.50
Si4 0.1838 0.8060 0.5000  3 Si 2.29-2.39
Si5 0.3162 0.3060 0.5000  3 Si 2.29-2.39
Si6 0.3720 0.4668 0.5000  3 Si 2.34-2.50
Si7 0.3776 0.0626 0.5000  3 Si 2.50-2.73
Si8 0.4657 0.7904 0.5000  3 Si 2.29-2.51
Si9 0.5343 0.2096 0.5000  3 Si 2.29-2.51
Si10 0.6224 0.9374 0.5000  3 Si 2.50-2.73
Si11 0.6280 0.5332 0.5000  3 Si 2.34-2.50
Si12 0.6838 0.6940 0.5000  3 Si 2.29-2.39
Si13 0.8162 0.1940 0.5000  3 Si 2.29-2.39
Si14 0.8720 0.0332 0.5000  3 Si 2.34-2.50
Si15 0.8776 0.4374 0.5000  3 Si 2.50-2.73
Si16 0.9657 0.7096 0.5000  3 Si 2.29-2.51

Fermi-level density of states: 0.340 states/eV/atom
Formation energy from raw total energies: -0.435 eV/atom
Calculated volume: 494.8 Å³ per cell
Total energy: -5.6000 eV per atom

Record 6
Compound: Sm2HoSi6
Source: Alexandria via LeMat-Bulk
Functional: PBE
Structure: relaxed

a b c (Å): 7.1230 7.1230 4.0241
angles (deg): 90.00 90.00 120.00
With the nearest neighbours (Å) after each atom.
Sites, in units of the cell vectors:
Sm1 0.3333 0.6667 0.0000  12 Si 3.12
Sm2 0.6667 0.3333 0.0000  12 Si 3.12
Ho1 0.0000 0.0000 0.0000  12 Si 3.10
Si1 0.0000 0.3316 0.5000  3 Si 2.36-2.40
Si2 0.0000 0.6684 0.5000  3 Si 2.36-2.40
Si3 0.3316 0.0000 0.5000  3 Si 2.36-2.40
Si4 0.3316 0.3316 0.5000  3 Si 2.36-2.40
Si5 0.6684 0.0000 0.5000  3 Si 2.36-2.40
Si6 0.6684 0.6684 0.5000  3 Si 2.36-2.40

Fermi-level density of states: 0.656 states/eV/atom
Formation energy from raw total energies: -0.547 eV/atom
Calculated volume: 176.8 Å³ per cell
Total energy: -5.7197 eV per atom

Record 7
Compound: Sm2HoSi
Source: Alexandria via LeMat-Bulk
Functional: PBE
Structure: relaxed

a b c (Å): 10.1859 10.1859 10.1859
angles (deg): 21.19 21.19 21.19
With the nearest neighbours (Å) after each atom.
Sites, in units of the cell vectors:
Sm1 0.2316 0.2316 0.2316  3 Si 2.90
Sm2 0.7684 0.7684 0.7684  3 Si 2.90
Ho1 0.0000 0.0000 0.0000  6 Sm 3.73, 6 Ho 3.75
Si1 0.5000 0.5000 0.5000  6 Sm 2.90

Fermi-level density of states: 1.522 states/eV/atom
Formation energy from raw total energies: -0.105 eV/atom
Calculated volume: 120.9 Å³ per cell
Total energy: -4.9650 eV per atom

Record 8
Compound: Sm2HoSi
Source: Alexandria via LeMat-Bulk
Functional: PBE
Structure: relaxed

a b c (Å): 4.6720 4.6720 4.7173
angles (deg): 90.00 90.00 90.00
With the nearest neighbours (Å) after each atom.
Sites, in units of the cell vectors:
Sm1 0.0000 0.5000 0.0000  4 Sm 3.30, 4 Ho 3.32, 4 Si 3.32
Sm2 0.5000 0.0000 0.0000  4 Sm 3.30, 4 Ho 3.32, 4 Si 3.32
Ho1 0.0000 0.0000 0.5000  4 Si 3.30, 8 Sm 3.32
Si1 0.5000 0.5000 0.5000  4 Ho 3.30, 8 Sm 3.32

Fermi-level density of states: 0.963 states/eV/atom
Formation energy from raw total energies: -0.252 eV/atom
Calculated volume: 103.0 Å³ per cell
Total energy: -5.1113 eV per atom

Record 9
Compound: Sm4HoSi4
Source: Alexandria via LeMat-Bulk
Functional: PBE
Structure: relaxed

a b c (Å): 8.9297 8.9297 5.9626
angles (deg): 90.00 90.00 90.00
With the nearest neighbours (Å) after each atom.
Sites, in units of the cell vectors:
Sm1 0.0596 0.6683 0.1159  5 Si 2.91-3.20
Sm2 0.1683 0.9404 0.6159  5 Si 2.91-3.20
Sm3 0.3317 0.5596 0.6159  5 Si 2.91-3.20
Sm4 0.4404 0.8317 0.1159  5 Si 2.91-3.20
Sm5 0.5596 0.1683 0.8841  5 Si 2.91-3.20
Sm6 0.6683 0.4404 0.3841  5 Si 2.91-3.20
Sm7 0.8317 0.0596 0.3841  5 Si 2.91-3.20
Sm8 0.9404 0.3317 0.8841  5 Si 2.91-3.20
Ho1 0.2500 0.2500 0.2500  4 Si 2.75
Ho2 0.7500 0.7500 0.7500  4 Si 2.75
Si1 0.0115 0.6181 0.6056  1 Si 2.46, 1 Ho 2.75
Si2 0.1181 0.9885 0.1056  1 Si 2.46, 1 Ho 2.75
Si3 0.3819 0.5115 0.1056  1 Si 2.46, 1 Ho 2.75
Si4 0.4885 0.8819 0.6056  1 Si 2.46, 1 Ho 2.75
Si5 0.5115 0.1181 0.3944  1 Si 2.46, 1 Ho 2.75
Si6 0.6181 0.4885 0.8944  1 Si 2.46, 1 Ho 2.75
Si7 0.8819 0.0115 0.8944  1 Si 2.46, 1 Ho 2.75
Si8 0.9885 0.3819 0.3944  1 Si 2.46, 1 Ho 2.75

Fermi-level density of states: 0.986 states/eV/atom
Formation energy from raw total energies: -0.480 eV/atom
Calculated volume: 475.5 Å³ per cell
Total energy: -5.4964 eV per atom

Record 10
Compound: SmHoSi3
Source: Alexandria via LeMat-Bulk
Functional: PBE
Structure: relaxed

a b c (Å): 12.4728 12.4728 3.9542
angles (deg): 90.00 90.00 160.65
With the nearest neighbours (Å) after each atom.
Sites, in units of the cell vectors:
Sm1 0.0704 0.9296 0.7500  12 Si 3.09-3.39
Sm2 0.9296 0.0704 0.2500  12 Si 3.09-3.39
Ho1 0.2030 0.7970 0.2500  7 Si 2.91-2.94
Ho2 0.7970 0.2030 0.7500  7 Si 2.91-2.94
Si1 0.3214 0.6786 0.2500  2 Si 2.44
Si2 0.3796 0.6204 0.7500  3 Si 2.34-2.44
Si3 0.4748 0.5252 0.7500  3 Si 2.33-2.34
Si4 0.5252 0.4748 0.2500  3 Si 2.33-2.34
Si5 0.6204 0.3796 0.2500  3 Si 2.34-2.44
Si6 0.6786 0.3214 0.7500  2 Si 2.44

Fermi-level density of states: 0.326 states/eV/atom
Formation energy from raw total energies: -0.699 eV/atom
Calculated volume: 203.9 Å³ per cell
Total energy: -5.8118 eV per atom

Record 11
Compound: SmHoZnSi
Source: Alexandria via LeMat-Bulk
Functional: PBE
Structure: relaxed

a b c (Å): 5.0189 5.0189 5.0189
angles (deg): 60.00 60.00 60.00
With the nearest neighbours (Å) after each atom.
Sites, in units of the cell vectors:
Sm1 0.0000 0.0000 0.0000  4 Si 3.07, 4 Zn 3.07
Ho1 0.5000 0.5000 0.5000  4 Si 3.07, 4 Zn 3.07
Zn1 0.2500 0.2500 0.2500  4 Ho 3.07, 4 Sm 3.07
Si1 0.7500 0.7500 0.7500  4 Ho 3.07, 4 Sm 3.07

Fermi-level density of states: 0.475 states/eV/atom
Formation energy from raw total energies: -0.449 eV/atom
Calculated volume: 89.4 Å³ per cell
Total energy: -4.4471 eV per atom

Record 12
Compound: SmHoZnSi
Source: Alexandria via LeMat-Bulk
Functional: PBE
Structure: relaxed

a b c (Å): 4.0711 5.8775 5.8775
angles (deg): 41.92 90.00 90.00
With the nearest neighbours (Å) after each atom.
Sites, in units of the cell vectors:
Sm1 0.0000 0.0000 0.0000  4 Zn 3.05, 3 Si 3.09-3.19
Ho1 0.5000 0.2844 0.2844  4 Si 3.01, 3 Zn 3.10-3.22
Zn1 0.5000 0.5775 0.5775  2 Si 2.56
Si1 0.0000 0.7185 0.7185  2 Zn 2.56

Fermi-level density of states: 1.037 states/eV/atom
Formation energy from raw total energies: -0.549 eV/atom
Calculated volume: 94.0 Å³ per cell
Total energy: -4.5476 eV per atom